SrAsP2N6, optimized geometry, DFT PBE-GGA; uncorrected formation energy = -0.1213 eV/atom; spin magnetization = 0.475 μB/f.u.; V = 135.5 Å³/f.u.; SG = No. 15; VASP energy = -6.832 eV/atom; density = 3.8 g cm⁻³
1.0
-4.738 -2.166 2.142
2.052 -5.393 4.394
-1.822 4.255 5.583
N As P Sr
12 2 4 2
direct
0.777 0.001 0.254
0.937 0.394 0.765
0.223 0.999 0.746
0.277 0.254 0.001
0.563 0.235 0.606
0.841 0.327 0.287
0.063 0.606 0.235
0.659 0.713 0.673
0.437 0.765 0.394
0.723 0.746 0.999
0.159 0.673 0.713
0.341 0.287 0.327
0.250 0.243 0.757
0.750 0.757 0.243
0.879 0.630 0.780
0.621 0.220 0.370
0.121 0.370 0.220
0.379 0.780 0.630
0.250 0.887 0.113
0.750 0.113 0.887